The following is a DFT calculation (GGA-PBE) of crystalline Pr2CdTc at its relaxed geometry.

Values from the calculation:
Calculated volume ... 26.33 Å³ per atom
Total magnetic moment ... 0.34 Bohr magnetons per cell
Crystal system ... trigonal
DFT total energy ... -4.58 eV/atom
Symmetry ... No. 166

Cell lengths 11.219, 11.219, 11.219 Å; angles 17.00, 17.00, 17.00 degrees
Element x y z (fractional)
Pr  0.079  0.079  0.079
Pr  0.921  0.921  0.921
Cd  0.500  0.500  0.500
Tc  0.000  0.000  0.000